(1)
A PBEsol-optimized structure of SmPS. Source: Alexandria via LeMat-Bulk, functional SCAN.

Summary:
size of the total moment = 0.00 μB/f.u.
raw total energy = -23.20 eV per atom
uncorrected formation energy = -1.71 eV per atom

CIF file:
```
data_SmPS
_cell_length_a 7.037
_cell_length_b 3.671
_cell_length_c 9.245
_cell_angle_alpha 90.00
_cell_angle_beta 90.00
_cell_angle_gamma 90.00
_symmetry_space_group_name_H-M 'P n m a'
_symmetry_Int_Tables_number 62
loop_
_symmetry_equiv_pos_as_xyz
'x,y,z'
'-x,-y,-z'
'-x+1/2,-y,z+1/2'
'x+1/2,y,-z+1/2'
'x+1/2,-y+1/2,-z+1/2'
'-x+1/2,y+1/2,z+1/2'
'-x,y+1/2,-z'
'x,-y+1/2,z'
loop_
_atom_site_label
_atom_site_type_symbol
_atom_site_fract_x
_atom_site_fract_y
_atom_site_fract_z
Sm1 Sm 0.204 0.250 0.158
P1 P 0.088 0.250 0.462
S1 S 0.097 0.250 0.845
```

***

(2)
A PBEsol-optimized structure of SnPS2. Source: Alexandria via LeMat-Bulk, functional SCAN.

Summary:
size of the total moment = 0.00 μB/f.u.
raw total energy = -15.84 eV per atom
uncorrected formation energy = 0.56 eV per atom

CIF file:
```
data_SnPS2
_cell_length_a 6.536
_cell_length_b 6.536
_cell_length_c 6.536
_cell_angle_alpha 90.00
_cell_angle_beta 90.00
_cell_angle_gamma 90.00
_symmetry_space_group_name_H-M 'F m -3 m'
_symmetry_Int_Tables_number 225
_symmetry_space_group_name_Hall '-F 4 2 3'
loop_
_atom_site_label
_atom_site_type_symbol
_atom_site_fract_x
_atom_site_fract_y
_atom_site_fract_z
Sn1 Sn 0.000 0.000 0.000
P1 P 0.000 0.000 0.500
S1 S 0.250 0.250 0.250
```

***

(3)
A PBEsol-optimized structure of TcSnPS2. Source: Alexandria via LeMat-Bulk, functional SCAN.

Summary:
size of the total moment = 1.25 μB/f.u.
raw total energy = -19.86 eV per atom
uncorrected formation energy = 0.27 eV per atom

CIF file:
```
data_TcSnPS2
_cell_length_a 4.673
_cell_length_b 4.673
_cell_length_c 4.519
_cell_angle_alpha 90.00
_cell_angle_beta 90.00
_cell_angle_gamma 90.00
_symmetry_space_group_name_H-M 'P 4/m m m'
_symmetry_Int_Tables_number 123
_symmetry_space_group_name_Hall '-P 4 2'
loop_
_atom_site_label
_atom_site_type_symbol
_atom_site_fract_x
_atom_site_fract_y
_atom_site_fract_z
Tc1 Tc 0.000 0.000 0.000
Sn1 Sn 0.500 0.500 0.500
P1 P 0.000 0.000 0.500
S1 S 0.000 0.500 0.000
```

***

(4)
A PBEsol-optimized structure of TlSnPS4. Source: Alexandria via LeMat-Bulk, functional SCAN.

Summary:
size of the total moment = 0.00 μB/f.u.
raw total energy = -22.90 eV per atom
uncorrected formation energy = -0.45 eV per atom

CIF file:
```
data_TlSnPS4
_cell_length_a 11.820
_cell_length_b 8.606
_cell_length_c 6.509
_cell_angle_alpha 90.00
_cell_angle_beta 90.00
_cell_angle_gamma 90.00
_symmetry_space_group_name_H-M 'P n a 21'
_symmetry_Int_Tables_number 33
loop_
_symmetry_equiv_pos_as_xyz
'x,y,z'
'-x,-y,z+1/2'
'-x+1/2,y+1/2,z+1/2'
'x+1/2,-y+1/2,z'
loop_
_atom_site_label
_atom_site_type_symbol
_atom_site_fract_x
_atom_site_fract_y
_atom_site_fract_z
Tl1 Tl 0.107 0.131 0.000
Sn1 Sn 0.132 0.612 0.960
P1 P 0.155 0.373 0.514
S1 S 0.046 0.188 0.505
S2 S 0.065 0.577 0.538
S3 S 0.239 0.854 0.260
S4 S 0.246 0.873 0.756
```

***

- Look up the uncorrected formation energy of the fourth one.
  -0.45 eV per atom

***

- Number 4 is which compound?
  TlSnPS4

***

Repeat the first record exactly.
A PBEsol-optimized structure of SmPS. Source: Alexandria via LeMat-Bulk, functional SCAN.

Summary:
size of the total moment = 0.00 μB/f.u.
raw total energy = -23.20 eV per atom
uncorrected formation energy = -1.71 eV per atom

CIF file:
```
data_SmPS
_cell_length_a 7.037
_cell_length_b 3.671
_cell_length_c 9.245
_cell_angle_alpha 90.00
_cell_angle_beta 90.00
_cell_angle_gamma 90.00
_symmetry_space_group_name_H-M 'P n m a'
_symmetry_Int_Tables_number 62
loop_
_symmetry_equiv_pos_as_xyz
'x,y,z'
'-x,-y,-z'
'-x+1/2,-y,z+1/2'
'x+1/2,y,-z+1/2'
'x+1/2,-y+1/2,-z+1/2'
'-x+1/2,y+1/2,z+1/2'
'-x,y+1/2,-z'
'x,-y+1/2,z'
loop_
_atom_site_label
_atom_site_type_symbol
_atom_site_fract_x
_atom_site_fract_y
_atom_site_fract_z
Sm1 Sm 0.204 0.250 0.158
P1 P 0.088 0.250 0.462
S1 S 0.097 0.250 0.845
```

***

- raw total energy of number 4 (TlSnPS4)?
  -22.90 eV per atom